A plane-wave DFT calculation with PBEsol was carried out for Fe2AsAu after structural relaxation.

Properties
calculated density: 11.57 g cm⁻³
ΔE_f: 0.176 eV/atom
total DFT energy (no corrections): -0.241 hartree per atom
N(E_F): 0.8651 states/eV/atom

a = 2.796 Å, b = 3.717 Å, c = 5.388 Å
α = 90.00°, β = 100.50°, γ = 90.00°
Atoms (fractional coordinates):
As1 0.500 0.500 0.000
Au1 0.500 0.500 0.500
Fe1 0.083 0.000 0.779
Fe2 0.917 0.000 0.221

=====

A plane-wave DFT calculation with PBEsol was carried out for LaRh2Au after structural relaxation.

Properties
calculated density: 12.22 g cm⁻³
ΔE_f: -0.161 eV/atom
total DFT energy (no corrections): -0.241 hartree per atom
N(E_F): 0.5664 states/eV/atom

a = 4.704 Å, b = 4.704 Å, c = 4.704 Å
α = 60.00°, β = 60.00°, γ = 60.00°
Atoms (fractional coordinates):
Au1 0.500 0.500 0.500
La1 0.750 0.750 0.750
Rh1 0.000 0.000 0.000
Rh2 0.250 0.250 0.250

=====

A plane-wave DFT calculation with PBEsol was carried out for NbCo2PdW after structural relaxation.

Properties
calculated density: 9.38 g cm⁻³
ΔE_f: 1.873 eV/atom
total DFT energy (no corrections): -0.270 hartree per atom
N(E_F): 1.5147 states/eV/atom

a = 4.320 Å, b = 4.320 Å, c = 4.753 Å
α = 90.00°, β = 90.00°, γ = 90.00°
Atoms (fractional coordinates):
Nb1 0.000 0.000 0.000
Co1 0.000 0.500 0.000
Co2 0.500 0.000 0.000
Pd1 0.500 0.500 0.500
W1 0.000 0.000 0.500

=====

A plane-wave DFT calculation with PBEsol was carried out for HRu3Cl after structural relaxation.

Properties
calculated density: 9.73 g cm⁻³
total DFT energy (no corrections): -0.228 hartree per atom
N(E_F): 0.9910 states/eV/atom

a = 3.870 Å, b = 3.870 Å, c = 3.870 Å
α = 90.00°, β = 90.00°, γ = 90.00°
Atoms (fractional coordinates):
Ru1 0.000 0.500 0.000
Ru2 0.000 0.000 0.500
Ru3 0.500 0.000 0.000
H1 0.000 0.000 0.000
Cl1 0.500 0.500 0.500

=====

A plane-wave DFT calculation with PBEsol was carried out for ZrAl2Te after structural relaxation.

Properties
calculated density: 5.62 g cm⁻³
total DFT energy (no corrections): -0.197 hartree per atom
N(E_F): 0.6189 states/eV/atom
formation energy without anion corrections: -0.604 eV/f.u.

a = 3.434 Å, b = 5.023 Å, c = 5.023 Å
α = 111.61°, β = 90.00°, γ = 90.00°
Atoms (fractional coordinates):
Te1 0.500 0.000 0.000
Al1 0.000 0.500 0.000
Al2 0.000 0.000 0.500
Zr1 0.500 0.500 0.500

=====

A plane-wave DFT calculation with PBEsol was carried out for Re2HgIrRh after structural relaxation.

Properties
calculated density: 14.45 g cm⁻³
ΔE_f: 2.265 eV/atom
total DFT energy (no corrections): -0.249 hartree per atom
N(E_F): 1.7654 states/eV/atom

a = 4.575 Å, b = 4.575 Å, c = 4.768 Å
α = 90.00°, β = 90.00°, γ = 90.00°
Atoms (fractional coordinates):
Re1 0.000 0.500 0.000
Re2 0.500 0.000 0.000
Ir1 0.000 0.000 0.500
Rh1 0.000 0.000 0.000
Hg1 0.500 0.500 0.500